(1)
The following is a PBE calculation of a relaxed structure of Tl3Te5Au12, from the Alexandria database.

Lattice parameters (Å, degrees): 16.3264 16.3264 16.3264 90.00 90.00 90.00
Closest atoms and distances in Å follow each position.
Space group Ia-3d (No. 230)
Asymmetric unit:
Tl 0.0000 0.2500 0.1250 [24 per cell]  8 Au 2.91-2.94
Te 0.0000 0.0000 0.0000 [16 per cell]  6 Au 2.81
Te 0.0000 0.2500 0.3750 [24 per cell]  4 Au 2.74
Au 0.0086 0.0745 0.6552 [96 per cell]  2 Te 2.74-2.81, 1 Au 2.90, 2 Tl 2.91-2.94

## Properties
Crystal system: cubic
Mass density: 11.034 Mg/m³
Formation energy (no corrections): 0.092 eV per atom
V: 27.2 Å³ per atom


(2)
The following is a PBE calculation of a relaxed structure of Zr2IrW, from the Alexandria database.

Lattice parameters (Å, degrees): 5.8390 9.0643 2.9393 90.00 111.08 90.00
Closest atoms and distances in Å follow each position.
Space group C2/m (No. 12)
Asymmetric unit:
Zr 0.2500 0.2500 0.0000 [4 per cell]  2 W 2.81, 2 Ir 2.81, 4 Zr 2.92-2.94
Ir 0.0000 0.0000 0.5000 [2 per cell]  4 Zr 2.81, 2 W 2.92, 2 Ir 2.94
W 0.0000 0.5000 0.5000 [2 per cell]  4 Zr 2.81, 2 Ir 2.92, 2 W 2.94

## Properties
Crystal system: monoclinic
Mass density: 12.778 Mg/m³
V: 18.1 Å³ per atom
Calculated total energy: -78.96 eV per cell


(3)
The following is a PBE calculation of a relaxed structure of LiPrZnSn, from the Alexandria database.

Lattice parameters (Å, degrees): 7.2604 7.2604 7.2604 90.00 90.00 90.00
Closest atoms and distances in Å follow each position.
Space group F-43m (No. 216)
Asymmetric unit:
Li 0.0000 0.0000 0.0000 [4 per cell]  4 Zn 3.14, 4 Sn 3.14
Pr 0.0000 0.0000 0.5000 [4 per cell]  4 Sn 3.14, 4 Zn 3.14
Zn 0.2500 0.2500 0.2500 [4 per cell]  4 Li 3.14, 4 Pr 3.14
Sn 0.2500 0.2500 0.7500 [4 per cell]  4 Li 3.14, 4 Pr 3.14

## Properties
Crystal system: cubic
Mass density: 5.761 Mg/m³
V: 23.9 Å³ per atom
Calculated total energy: -54.61 eV per cell


- What is the V in the first record?
  27.2 Å³ per atom